Entry 1:
Below is a relaxed structure of Ac3TmAl2O9, with properties calculated at the PBE level.

a b c (Å): 5.6507 5.6507 7.0322
angles (deg): 90.00 90.00 120.00
Space group P-3m1 (No. 164)
Inequivalent atoms, fractional coordinates:
Ac 0.0000 0.0000 0.0000 [1 per cell]
Ac 0.3333 0.6667 0.6885 [2 per cell]
Tm 0.0000 0.0000 0.5000 [1 per cell]
Al 0.3333 0.6667 0.1635 [2 per cell]
O 0.0000 0.5000 0.0000 [3 per cell]
O 0.1750 0.3501 0.3141 [6 per cell]

Summary:
The formation energy (no corrections) comes out at -3295 meV per atom.

***

Entry 2:
Below is a relaxed structure of Sr2GaBi, with properties calculated at the PBE level.

a b c (Å): 5.410 5.410 4.494
angles (deg): 90.00 90.00 90.00
Space group P4/mmm (No. 123)
Inequivalent atoms, fractional coordinates:
Sr 0.000 0.500 0.000 [2 per cell]
Ga 0.000 0.000 0.500 [1 per cell]
Bi 0.500 0.500 0.500 [1 per cell]

Summary:
Its formation energy is -0.57 eV/atom. The polymorph energy (0 for the lowest one) is 0.0 kJ/mol of atoms.

***

Entry 3:
Below is a relaxed structure of Ga6CuSb7Te8Cl24, with properties calculated at the PBE level.

a b c (Å): 11.704 12.771 13.190
angles (deg): 115.45 106.59 100.60
Space group P-1 (No. 2)
Inequivalent atoms, fractional coordinates:
Ga 0.061 0.239 0.337 [2 per cell]
Ga 0.061 0.291 0.885 [2 per cell]
Ga 0.402 0.699 0.797 [2 per cell]
Cu 0.000 0.500 0.500 [1 per cell]
Sb 0.303 0.701 0.148 [2 per cell]
Sb 0.349 0.048 0.757 [2 per cell]
Sb 0.353 0.274 0.614 [2 per cell]
Sb 0.500 0.000 0.500 [1 per cell]
Te 0.243 0.007 0.508 [2 per cell]
Te 0.397 0.717 0.386 [2 per cell]
Te 0.408 0.966 0.241 [2 per cell]
Te 0.456 0.316 0.867 [2 per cell]
Cl 0.038 0.608 0.185 [2 per cell]
Cl 0.039 0.252 0.501 [2 per cell]
Cl 0.066 0.811 0.068 [2 per cell]
Cl 0.073 0.431 0.361 [2 per cell]
Cl 0.091 0.905 0.836 [2 per cell]
Cl 0.109 0.163 0.740 [2 per cell]
Cl 0.245 0.417 0.048 [2 per cell]
Cl 0.251 0.226 0.350 [2 per cell]
Cl 0.270 0.620 0.858 [2 per cell]
Cl 0.299 0.753 0.668 [2 per cell]
Cl 0.436 0.136 0.044 [2 per cell]
Cl 0.476 0.559 0.697 [2 per cell]

Summary:
The formation energy (no corrections) comes out at -780 meV per atom.

***

Entry 4:
Below is a relaxed structure of GeOs, with properties calculated at the PBE level.

a b c (Å): 2.925 13.920 4.346
angles (deg): 90.00 90.00 90.00
Space group Pmmn (No. 59, origin choice 2)
Inequivalent atoms, fractional coordinates:
Ge 0.250 0.082 0.118 [4 per cell]
Ge 0.250 0.750 0.675 [2 per cell]
Os 0.250 0.250 0.826 [2 per cell]
Os 0.250 0.586 0.382 [4 per cell]

Summary:
Its formation energy is 0.24 eV/atom.

***

Entry 5:
Below is a relaxed structure of Mn2HgAu, with properties calculated at the PBE level.

a b c (Å): 3.1082 3.1082 26.0004
angles (deg): 90.00 90.00 120.00
Space group R-3m (No. 166, hexagonal axes)
Inequivalent atoms, fractional coordinates:
Mn 0.0000 0.0000 0.2468 [6 per cell]
Hg 0.0000 0.0000 0.0000 [3 per cell]
Au 0.0000 0.0000 0.5000 [3 per cell]

Summary:
Its formation energy is 0.27 eV/atom.

***

Entry 6:
Below is a relaxed structure of Na2PdF4, with properties calculated at the PBE level.

a b c (Å): 4.317 4.317 11.732
angles (deg): 90.00 90.00 90.00
Space group I4/mmm (No. 139)
Inequivalent atoms, fractional coordinates:
Na 0.000 0.000 0.138 [4 per cell]
Pd 0.000 0.000 0.500 [2 per cell]
F 0.000 0.000 0.322 [4 per cell]
F 0.000 0.500 0.000 [4 per cell]

Summary:
The formation energy (no corrections) comes out at -1964 meV per atom. The polymorph energy (0 for the lowest one) is 15.3 kJ/mol of atoms.

***

Entry 7:
Below is a relaxed structure of MgMnTlTe3, with properties calculated at the PBE level.

a b c (Å): 7.984 4.135 12.163
angles (deg): 90.00 108.31 90.00
Space group P2_1/m (No. 11)
Inequivalent atoms, fractional coordinates:
Mg 0.101 0.250 0.117 [2 per cell]
Mn 0.327 0.750 0.386 [2 per cell]
Tl 0.300 0.250 0.808 [2 per cell]
Te 0.087 0.250 0.345 [2 per cell]
Te 0.261 0.750 0.033 [2 per cell]
Te 0.450 0.750 0.627 [2 per cell]

Summary:
The formation energy (no corrections) comes out at -397 meV per atom.

***

Entry 8:
Below is a relaxed structure of SrZn3PdRh, with properties calculated at the PBE level.

a b c (Å): 6.570 12.557 5.741
angles (deg): 90.00 90.00 90.00
Space group Cmcm (No. 63)
Inequivalent atoms, fractional coordinates:
Sr 0.000 0.226 0.250 [4 per cell]
Zn 0.000 0.351 0.750 [4 per cell]
Zn 0.201 0.000 0.000 [8 per cell]
Pd 0.000 0.141 0.750 [4 per cell]
Rh 0.000 0.451 0.250 [4 per cell]

Summary:
Its formation energy is -0.34 eV/atom.

***

| no. | calculated density (Mg/m³) |
| --- | --- |
| 1 | 8.95 |
| 2 | 5.73 |
| 3 | 3.34 |
| 4 | 14.80 |
| 5 | 11.62 |
| 6 | 3.47 |
| 7 | 5.81 |
| 8 | 6.92 |